(1)
Crystalline Er6Te3AsRh2 at its relaxed geometry, computed with PBE.

Geometry as POSCAR:
```
Er6Te3AsRh2
1.0
7.1686 -0.0046 -0.0072
-3.5865 6.2069 -0.0072
-1.2020 -2.0813 7.1048
Er Te As Rh
6 3 1 2
direct
0.9309 0.5868 0.7896
0.7272 0.7272 0.2093
0.0691 0.4132 0.2104
0.5868 0.9309 0.7896
0.2728 0.2728 0.7907
0.4132 0.0691 0.2104
0.1631 0.8369 0.5000
0.8369 0.1631 0.5000
0.5000 0.5000 0.5000
0.0000 0.0000 0.0000
0.3330 0.6670 0.0000
0.6670 0.3330 0.0000
```

Its space group is C2/m. The energy relative to the elements, uncorrected comes out at -13.767 eV/f.u.



(2)
Crystalline TaCrPd3 at its relaxed geometry, computed with PBE.

Geometry as POSCAR:
```
TaCrPd3
1.0
-3.2895 1.6237 2.6150
-2.9787 -2.6440 -2.1052
0.7760 -3.2662 3.0042
Cr Pd Ta
1 3 1
direct
0.0000 0.0000 0.0000
0.0000 0.5000 0.0000
0.0000 0.0000 0.5000
0.5000 0.0000 0.0000
0.5000 0.5000 0.5000
```

Its space group is Pm-3m. The value obtained for the relative energy among the computed polymorphs is 141.0 meV per atom.



(3)
Crystalline Cd3In8Hg3 at its relaxed geometry, computed with PBE.

Geometry as POSCAR:
```
Cd3In8Hg3
1.0
-5.3935 0.5938 0.6720
-2.8189 -6.6098 5.4582
-1.3794 3.2415 8.3077
Cd In Hg
3 8 3
direct
0.5000 0.0000 0.0000
0.0000 0.8401 0.1599
0.0000 0.1599 0.8401
0.6174 0.1342 0.6309
0.3826 0.8658 0.3691
0.6174 0.6309 0.1342
0.3826 0.3691 0.8658
0.8211 0.8228 0.5350
0.1789 0.1772 0.4650
0.8211 0.5350 0.8228
0.1789 0.4650 0.1772
0.5000 0.5000 0.5000
0.7978 0.2022 0.2022
0.2022 0.7978 0.7978
```

Its space group is Immm. Its calculated total energy is -1.757 eV per atom.



(4)
Crystalline BeSeBr2 at its relaxed geometry, computed with PBE.

Geometry as POSCAR:
```
BeSeBr2
1.0
-2.5609 -2.3391 0.9873
2.4859 -2.0248 1.6508
-1.1775 4.2248 6.9552
Be Se Br
1 1 2
direct
0.5000 0.5000 0.5766
0.0000 0.0000 0.6521
0.0000 0.0000 0.9395
0.5000 0.5000 0.3318
```

Its space group is P4mm. The value obtained for the relative energy among the computed polymorphs is 233.0 meV per atom. The energy relative to the elements, uncorrected comes out at -0.837 eV/f.u.



(5)
Crystalline LiTmCuPt at its relaxed geometry, computed with PBE.

Geometry as POSCAR:
```
LiTmCuPt
1.0
4.6256 0.0000 0.0000
2.3128 4.0059 0.0000
2.3128 1.3353 3.7768
Tm Cu Pt Li
1 1 1 1
direct
0.0000 0.0000 0.0000
0.2500 0.2500 0.2500
0.7500 0.7500 0.7500
0.5000 0.5000 0.5000
```

Its space group is F-43m. Its calculated total energy is -4.715 eV per atom.



(6)
Crystalline Sn2BiPd at its relaxed geometry, computed with PBE.

Geometry as POSCAR:
```
Sn2BiPd
1.0
-0.0457 -2.7769 3.5535
3.8826 -1.3789 1.8345
1.2127 3.3519 5.4970
Sn Bi Pd
2 1 1
direct
0.0600 0.0600 0.8199
0.2734 0.2734 0.1798
0.5017 0.5017 0.4948
0.6648 0.6648 0.0055
```

Its space group is R3m. The value obtained for the relative energy among the computed polymorphs is 13.1 meV per atom.